A plane-wave DFT calculation with PBE was carried out for a geometry-optimized Y8Ho4Mg structure.

Its density of states at the Fermi level is 18.7 states/eV per cell. As for the space-group type: R-3m, No. 166. The formation energy is 0.1854 eV/atom. As for the crystal system: trigonal. The total energy is -0.196 hartree per atom.

Lattice parameters (Å, degrees): 7.1637 7.1638 10.3456 90.00 110.26 120.00
Fractional coordinates of all 13 atoms:
Y 0.4254 0.2127 0.6381
Y 0.4909 0.7454 0.7087
Y 0.0367 0.7821 0.2913
Y 0.0367 0.2546 0.2913
Y 0.5746 0.7873 0.3619
Y 0.9633 0.7454 0.7087
Y 0.9633 0.2179 0.7087
Y 0.5091 0.2546 0.2913
Ho 0.5000 0.5000 0.0000
Ho 0.5000 0.0000 0.0000
Ho 0.0000 0.0000 0.0000
Ho 0.0000 0.5000 0.0000
Mg 0.0000 0.5000 0.5000